1.
# Ni2RuCl

Ni2RuCl after structural relaxation (PBE, the Alexandria database).

Geometry as POSCAR:
```
Ni2RuCl
1.0
-1.192 -3.042 3.766
-2.917 -3.675 1.688
1.713 -4.022 -0.198
Cl Ni Ru
1 2 1
direct
0.250 0.250 0.250 Cl
0.987 0.987 0.012 Ni
0.513 0.513 0.488 Ni
0.750 0.750 0.750 Ru
```

## Properties
Formation energy (no corrections) (eV per atom): 0.614
Energy above the lowest structure with this stoichiometry (eV per atom): 0.345
Magnetic moment (μB per formula unit): 2.06

***

2.
# ScTaTl2C

ScTaTl2C after structural relaxation (PBE, the Alexandria database).

Geometry as POSCAR:
```
ScTaTl2C
1.0
5.492 0.000 0.000
0.000 5.000 0.000
0.000 0.000 5.492
Sc Tl C Ta
1 2 1 1
direct
0.000 0.500 0.000 Sc
0.000 0.000 0.500 Tl
0.500 0.000 0.000 Tl
0.500 0.500 0.500 C
0.000 0.000 0.000 Ta
```

## Properties
VASP energy (eV/atom): -4.443
Magnetic moment (μB per formula unit): 1.34

***

3.
# NdErGa

NdErGa after structural relaxation (PBE, the Alexandria database).

Geometry as POSCAR:
```
NdErGa
1.0
3.750 0.000 0.000
0.000 5.010 0.000
0.000 -2.505 4.338
Nd Ga Er
1 1 1
direct
0.634 0.667 0.333 Nd
0.267 0.333 0.667 Ga
0.099 0.000 0.000 Er
```

## Properties
Energy above the lowest structure with this stoichiometry (eV per atom): 0.131
Magnetic moment (μB per formula unit): 0.00

***

4.
# USn2S4

USn2S4 after structural relaxation (PBE, the Alexandria database).

Geometry as POSCAR:
```
USn2S4
1.0
-2.180 3.017 -1.504
-5.681 -5.332 -2.458
-6.133 1.266 11.427
U Sn S
2 4 8
direct
0.000 0.000 0.500 U
0.000 0.500 0.000 U
0.500 0.990 0.757 Sn
0.500 0.010 0.243 Sn
0.500 0.490 0.743 Sn
0.500 0.510 0.257 Sn
0.000 0.670 0.822 S
0.000 0.330 0.178 S
0.000 0.170 0.678 S
0.000 0.830 0.322 S
0.500 0.820 0.583 S
0.500 0.180 0.417 S
0.500 0.680 0.083 S
0.500 0.320 0.917 S
```

## Properties
Formation energy (no corrections) (eV per atom): -0.836
Energy above the lowest structure with this stoichiometry (eV per atom): 0.000
Magnetic moment (μB per formula unit): 2.00

***

5.
# Tl3GaHg

Tl3GaHg after structural relaxation (PBE, the Alexandria database).

Geometry as POSCAR:
```
Tl3GaHg
1.0
-4.323 2.972 2.371
-3.504 -1.723 -4.230
-1.474 -4.620 3.103
Tl Hg Ga
3 1 1
direct
0.000 0.500 0.000 Tl
0.000 0.000 0.500 Tl
0.500 0.000 0.000 Tl
0.000 0.000 0.000 Hg
0.500 0.500 0.500 Ga
```

## Properties
Energy above the lowest structure with this stoichiometry (eV per atom): 0.405
Magnetic moment (μB per formula unit): 0.00

***

6.
# Y2CdIn

Y2CdIn after structural relaxation (PBE, the Alexandria database).

Geometry as POSCAR:
```
Y2CdIn
1.0
-3.982 4.059 2.401
0.005 0.747 6.127
4.173 -0.093 -4.548
Cd In Y
1 1 2
direct
0.500 0.500 0.000 Cd
0.750 0.250 0.500 In
0.000 0.000 0.000 Y
0.250 0.750 0.500 Y
```

## Properties
VASP energy (eV/atom): -4.449
Magnetic moment (μB per formula unit): 0.00

***

7.
# YAlS2N

YAlS2N after structural relaxation (PBE, the Alexandria database).

Geometry as POSCAR:
```
YAlS2N
1.0
-0.327 -1.263 -4.576
-1.605 -4.288 1.298
-3.478 1.271 -0.103
Y S Al N
1 2 1 1
direct
0.500 0.500 0.500 Y
0.000 0.500 0.000 S
0.500 0.000 0.000 S
0.000 0.000 0.000 Al
0.000 0.000 0.500 N
```

## Properties
Formation energy (no corrections) (eV per atom): -0.829
Energy above the lowest structure with this stoichiometry (eV per atom): 0.000
Magnetic moment (μB per formula unit): 1.02

***

8.
# Sr2GdCu2HgO7

Sr2GdCu2HgO7 after structural relaxation (PBE, the Alexandria database).

Geometry as POSCAR:
```
Sr2GdCu2HgO7
1.0
-1.699 3.163 1.313
-3.245 -1.956 0.513
3.506 -2.836 11.367
Sr Gd Cu Hg O
2 1 2 1 7
direct
0.500 0.500 0.198 Sr
0.500 0.500 0.802 Sr
0.500 0.500 0.500 Gd
0.000 0.000 0.354 Cu
0.000 0.000 0.646 Cu
0.000 0.000 0.000 Hg
0.000 0.000 0.175 O
0.000 0.000 0.825 O
0.000 0.500 0.378 O
0.000 0.500 0.622 O
0.500 0.000 0.378 O
0.500 0.000 0.622 O
0.500 0.500 0.000 O
```

## Properties
Formation energy (no corrections) (eV per atom): -1.757
Magnetic moment (μB per formula unit): 6.69